AcCe2Ag2Hg2: relaxed, PBE.

Values from the calculation:
Electronic total energy (eV/atom): -3.404
Fermi-level density of states (states/eV/atom): 1.471
Size of the total moment (Bohr magnetons per cell): 0.53

a = 9.577 Å, b = 9.577 Å, c = 9.577 Å
α = 29.17°, β = 29.17°, γ = 29.17°
Atoms (fractional coordinates):
Ac 0.000 0.000 0.000
Ce 0.144 0.144 0.144
Ce 0.856 0.856 0.856
Ag 0.432 0.432 0.432
Ag 0.568 0.568 0.568
Hg 0.262 0.262 0.262
Hg 0.738 0.738 0.738